# Ir2PbO6 | the Open Quantum Materials Database | GGA-PBE | optimized geometry
data_Ir2PbO6
_chemical_formula_sum 'Ir2 Pb1 O6'
_cell_length_a 5.3224
_cell_length_b 5.3224
_cell_length_c 4.9223
_cell_angle_alpha 90.00
_cell_angle_beta 90.00
_cell_angle_gamma 120.00
_symmetry_space_group_name_H-M 'P -3 1 m'
_symmetry_Int_Tables_number 162
_symmetry_space_group_name_Hall '-P 3 2'
loop_
_atom_site_label
_atom_site_fract_x
_atom_site_fract_y
_atom_site_fract_z
Ir1 0.3333 0.6667 0.0000
Pb1 0.0000 0.0000 0.5000
O1 0.0000 0.3783 0.7853
# - final energy (Ry/atom) = -0.4775


# KNpTlTe3 | the Open Quantum Materials Database | GGA-PBE | optimized geometry
data_KNpTlTe3
_chemical_formula_sum 'K4 Np4 Tl4 Te12'
_cell_length_a 4.4582
_cell_length_b 16.7816
_cell_length_c 12.9666
_cell_angle_alpha 90.00
_cell_angle_beta 90.00
_cell_angle_gamma 90.00
_symmetry_space_group_name_H-M 'C m c m'
_symmetry_Int_Tables_number 63
_symmetry_space_group_name_Hall '-C 2c 2'
loop_
_atom_site_label
_atom_site_fract_x
_atom_site_fract_y
_atom_site_fract_z
K1 0.0000 0.1608 0.2500
Np1 0.0000 0.5000 0.0000
Tl1 0.0000 0.1379 0.7500
Te1 0.0000 0.1223 0.0013
Te2 0.0000 0.4957 0.2500
# - final energy (Ry/atom) = -0.3599


# LiCuPdW | the Open Quantum Materials Database | GGA-PBE | optimized geometry
data_LiCuPdW
_chemical_formula_sum 'Li4 Cu4 Pd4 W4'
_cell_length_a 5.9675
_cell_length_b 5.9675
_cell_length_c 5.9675
_cell_angle_alpha 90.00
_cell_angle_beta 90.00
_cell_angle_gamma 90.00
_symmetry_space_group_name_H-M 'F -4 3 m'
_symmetry_Int_Tables_number 216
_symmetry_space_group_name_Hall 'F -4 2 3'
loop_
_atom_site_label
_atom_site_fract_x
_atom_site_fract_y
_atom_site_fract_z
Li1 0.0000 0.0000 0.0000
Cu1 0.0000 0.0000 0.5000
Pd1 0.2500 0.2500 0.7500
W1 0.2500 0.2500 0.2500
# - E above lowest polymorph (kJ per mole of atoms) = 15.8


# Zr4CdAsC2 | the Open Quantum Materials Database | GGA-PBE | optimized geometry
data_Zr4CdAsC2
_chemical_formula_sum 'Zr4 Cd1 As1 C2'
_cell_length_a 3.4007
_cell_length_b 3.4007
_cell_length_c 14.0414
_cell_angle_alpha 90.00
_cell_angle_beta 90.00
_cell_angle_gamma 120.00
_symmetry_space_group_name_H-M 'P -6 m 2'
_symmetry_Int_Tables_number 187
_symmetry_space_group_name_Hall 'P -6 2'
loop_
_atom_site_label
_atom_site_fract_x
_atom_site_fract_y
_atom_site_fract_z
Zr1 0.0000 0.0000 0.1410
Zr2 0.6667 0.3333 0.3199
Cd1 0.0000 0.0000 0.5000
As1 0.6667 0.3333 0.0000
C1 0.3333 0.6667 0.2327
# - final energy (Ry/atom) = -0.5889


# Er2Fe3B4Ir2 | the Open Quantum Materials Database | GGA-PBE | optimized geometry
data_Er2Fe3B4Ir2
_chemical_formula_sum 'Er8 Fe12 B16 Ir8'
_cell_length_a 5.3327
_cell_length_b 9.0949
_cell_length_c 11.0976
_cell_angle_alpha 90.00
_cell_angle_beta 90.00
_cell_angle_gamma 90.00
_symmetry_space_group_name_H-M 'F m m m'
_symmetry_Int_Tables_number 69
_symmetry_space_group_name_Hall '-F 2 2'
loop_
_atom_site_label
_atom_site_fract_x
_atom_site_fract_y
_atom_site_fract_z
Er1 0.0000 0.0000 0.1454
Fe1 0.0000 0.0000 0.5000
Fe2 0.2500 0.2500 0.2500
B1 0.0000 0.1533 0.3598
Ir1 0.2500 0.2500 0.0000
# - E above lowest polymorph (kJ per mole of atoms) = 0.0


# LiZnNiAg | the Open Quantum Materials Database | GGA-PBE | optimized geometry
data_LiZnNiAg
_chemical_formula_sum 'Li4 Zn4 Ni4 Ag4'
_cell_length_a 6.1003
_cell_length_b 6.1003
_cell_length_c 6.1003
_cell_angle_alpha 90.00
_cell_angle_beta 90.00
_cell_angle_gamma 90.00
_symmetry_space_group_name_H-M 'F -4 3 m'
_symmetry_Int_Tables_number 216
_symmetry_space_group_name_Hall 'F -4 2 3'
loop_
_atom_site_label
_atom_site_fract_x
_atom_site_fract_y
_atom_site_fract_z
Li1 0.0000 0.0000 0.0000
Zn1 0.2500 0.2500 0.7500
Ni1 0.2500 0.2500 0.2500
Ag1 0.0000 0.0000 0.5000
# - E above lowest polymorph (kJ per mole of atoms) = 8.2


# ErTm2S3 | the Open Quantum Materials Database | GGA-PBE | optimized geometry
data_ErTm2S3
_chemical_formula_sum 'Er1 Tm2 S3'
_cell_length_a 3.8411
_cell_length_b 3.8411
_cell_length_c 9.4198
_cell_angle_alpha 90.00
_cell_angle_beta 90.00
_cell_angle_gamma 120.00
_symmetry_space_group_name_H-M 'P -3 m 1'
_symmetry_Int_Tables_number 164
_symmetry_space_group_name_Hall '-P 3 2"'
loop_
_atom_site_label
_atom_site_fract_x
_atom_site_fract_y
_atom_site_fract_z
Er1 0.0000 0.0000 0.0000
Tm1 0.3333 0.6667 0.6666
S1 0.0000 0.0000 0.5000
S2 0.3333 0.6667 0.1685
# - final energy (Ry/atom) = -0.4595


# KCd3Pt | the Open Quantum Materials Database | GGA-PBE | optimized geometry
data_KCd3Pt
_chemical_formula_sum 'K2 Cd6 Pt2'
_cell_length_a 7.4787
_cell_length_b 7.4796
_cell_length_c 7.4848
_cell_angle_alpha 60.08
_cell_angle_beta 60.07
_cell_angle_gamma 60.05
_symmetry_space_group_name_H-M 'P -1'
_symmetry_Int_Tables_number 2
loop_
_symmetry_equiv_pos_as_xyz
'x,y,z'
'-x,-y,-z'
loop_
_atom_site_label
_atom_site_fract_x
_atom_site_fract_y
_atom_site_fract_z
K1 0.2486 0.2477 0.2500
Cd1 0.2497 0.2503 0.7487
Cd2 0.2505 0.7479 0.2495
Cd3 0.2518 0.7492 0.7508
Pt1 0.0000 0.0000 0.0000
Pt2 0.5000 0.5000 0.5000
# - final energy (Ry/atom) = -0.1638


# Gd2B13 | the Open Quantum Materials Database | GGA-PBE | optimized geometry
data_Gd2B13
_chemical_formula_sum 'Gd6 B39'
_cell_length_a 6.6473
_cell_length_b 6.6473
_cell_length_c 12.4388
_cell_angle_alpha 90.00
_cell_angle_beta 90.00
_cell_angle_gamma 120.00
_symmetry_space_group_name_H-M 'R -3 m'
_symmetry_Int_Tables_number 166
_symmetry_space_group_name_Hall '-R 3 2"'
loop_
_atom_site_label
_atom_site_fract_x
_atom_site_fract_y
_atom_site_fract_z
Gd1 0.0000 0.0000 0.2075
B1 0.0000 0.0000 0.0000
B2 0.0589 0.5294 0.1980
B3 0.1067 0.2134 0.3877
# - final energy (Ry/atom) = -0.4412


# TaGaNiIr | the Open Quantum Materials Database | GGA-PBE | optimized geometry
data_TaGaNiIr
_chemical_formula_sum 'Ta4 Ga4 Ni4 Ir4'
_cell_length_a 6.1694
_cell_length_b 6.1694
_cell_length_c 6.1694
_cell_angle_alpha 90.00
_cell_angle_beta 90.00
_cell_angle_gamma 90.00
_symmetry_space_group_name_H-M 'F -4 3 m'
_symmetry_Int_Tables_number 216
_symmetry_space_group_name_Hall 'F -4 2 3'
loop_
_atom_site_label
_atom_site_fract_x
_atom_site_fract_y
_atom_site_fract_z
Ta1 0.0000 0.0000 0.0000
Ga1 0.2500 0.2500 0.2500
Ni1 0.0000 0.0000 0.5000
Ir1 0.2500 0.2500 0.7500
# - final energy (Ry/atom) = -0.5531


# CsErNO | the Open Quantum Materials Database | GGA-PBE | optimized geometry
data_CsErNO
_chemical_formula_sum 'Cs4 Er4 N4 O4'
_cell_length_a 6.9990
_cell_length_b 8.9060
_cell_length_c 6.2904
_cell_angle_alpha 90.00
_cell_angle_beta 90.00
_cell_angle_gamma 90.00
_symmetry_space_group_name_H-M 'P c a 21'
_symmetry_Int_Tables_number 29
loop_
_symmetry_equiv_pos_as_xyz
'x,y,z'
'-x,-y,z+1/2'
'-x+1/2,y,z+1/2'
'x+1/2,-y,z'
loop_
_atom_site_label
_atom_site_fract_x
_atom_site_fract_y
_atom_site_fract_z
Cs1 0.0694 0.1334 0.0000
Er1 0.0908 0.6025 0.9843
N1 0.1207 0.5562 0.6329
O1 0.0080 0.1854 0.5196
# - E above lowest polymorph (kJ per mole of atoms) = 2.0


# Zr4CdInP2 | the Open Quantum Materials Database | GGA-PBE | optimized geometry
data_Zr4CdInP2
_chemical_formula_sum 'Zr4 Cd1 In1 P2'
_cell_length_a 3.6145
_cell_length_b 3.6145
_cell_length_c 15.2195
_cell_angle_alpha 90.00
_cell_angle_beta 90.00
_cell_angle_gamma 120.00
_symmetry_space_group_name_H-M 'P -6 m 2'
_symmetry_Int_Tables_number 187
_symmetry_space_group_name_Hall 'P -6 2'
loop_
_atom_site_label
_atom_site_fract_x
_atom_site_fract_y
_atom_site_fract_z
Zr1 0.0000 0.0000 0.1539
Zr2 0.3333 0.6667 0.3463
Cd1 0.0000 0.0000 0.5000
In1 0.3333 0.6667 0.0000
P1 0.6667 0.3333 0.2504
# - final energy (Ry/atom) = -0.5061


# KDyPt | the Open Quantum Materials Database | GGA-PBE | optimized geometry
data_KDyPt
_chemical_formula_sum 'K4 Dy4 Pt4'
_cell_length_a 7.0546
_cell_length_b 7.0546
_cell_length_c 7.0546
_cell_angle_alpha 90.00
_cell_angle_beta 90.00
_cell_angle_gamma 90.00
_symmetry_space_group_name_H-M 'F -4 3 m'
_symmetry_Int_Tables_number 216
_symmetry_space_group_name_Hall 'F -4 2 3'
loop_
_atom_site_label
_atom_site_fract_x
_atom_site_fract_y
_atom_site_fract_z
K1 0.0000 0.0000 0.0000
Dy1 0.0000 0.0000 0.5000
Pt1 0.2500 0.2500 0.7500
# - E above lowest polymorph (kJ per mole of atoms) = 22.8


# BeFeBiOs | the Open Quantum Materials Database | GGA-PBE | optimized geometry
data_BeFeBiOs
_chemical_formula_sum 'Be4 Fe4 Bi4 Os4'
_cell_length_a 6.1466
_cell_length_b 6.1466
_cell_length_c 6.1466
_cell_angle_alpha 90.00
_cell_angle_beta 90.00
_cell_angle_gamma 90.00
_symmetry_space_group_name_H-M 'F -4 3 m'
_symmetry_Int_Tables_number 216
_symmetry_space_group_name_Hall 'F -4 2 3'
loop_
_atom_site_label
_atom_site_fract_x
_atom_site_fract_y
_atom_site_fract_z
Be1 0.0000 0.0000 0.0000
Fe1 0.2500 0.2500 0.7500
Bi1 0.0000 0.0000 0.5000
Os1 0.2500 0.2500 0.2500
# - E above lowest polymorph (kJ per mole of atoms) = 0.0


# NbNiAsOs | the Open Quantum Materials Database | GGA-PBE | optimized geometry
data_NbNiAsOs
_chemical_formula_sum 'Nb4 Ni4 As4 Os4'
_cell_length_a 6.2023
_cell_length_b 6.2023
_cell_length_c 6.2023
_cell_angle_alpha 90.00
_cell_angle_beta 90.00
_cell_angle_gamma 90.00
_symmetry_space_group_name_H-M 'F -4 3 m'
_symmetry_Int_Tables_number 216
_symmetry_space_group_name_Hall 'F -4 2 3'
loop_
_atom_site_label
_atom_site_fract_x
_atom_site_fract_y
_atom_site_fract_z
Nb1 0.0000 0.0000 0.0000
Ni1 0.0000 0.0000 0.5000
As1 0.2500 0.2500 0.2500
Os1 0.2500 0.2500 0.7500
# - final energy (Ry/atom) = -0.5667


# ZrNbSi2 | the Open Quantum Materials Database | GGA-PBE | optimized geometry
data_ZrNbSi2
_chemical_formula_sum 'Zr4 Nb4 Si8'
_cell_length_a 6.4483
_cell_length_b 6.4483
_cell_length_c 6.4483
_cell_angle_alpha 90.00
_cell_angle_beta 90.00
_cell_angle_gamma 90.00
_symmetry_space_group_name_H-M 'F -4 3 m'
_symmetry_Int_Tables_number 216
_symmetry_space_group_name_Hall 'F -4 2 3'
loop_
_atom_site_label
_atom_site_fract_x
_atom_site_fract_y
_atom_site_fract_z
Zr1 0.0000 0.0000 0.0000
Nb1 0.2500 0.2500 0.2500
Si1 0.0000 0.0000 0.5000
Si2 0.2500 0.2500 0.7500
# - final energy (Ry/atom) = -0.5349


# Zr2CoTc | the Open Quantum Materials Database | GGA-PBE | optimized geometry
data_Zr2CoTc
_chemical_formula_sum 'Zr8 Co4 Tc4'
_cell_length_a 6.4515
_cell_length_b 6.4291
_cell_length_c 6.5676
_cell_angle_alpha 90.00
_cell_angle_beta 90.00
_cell_angle_gamma 90.00
_symmetry_space_group_name_H-M 'C m c m'
_symmetry_Int_Tables_number 63
_symmetry_space_group_name_Hall '-C 2c 2'
loop_
_atom_site_label
_atom_site_fract_x
_atom_site_fract_y
_atom_site_fract_z
Zr1 0.2502 0.2491 0.2500
Co1 0.0000 0.0000 0.0000
Tc1 0.0000 0.5000 0.0000
# - E above lowest polymorph (kJ per mole of atoms) = 1.6
# - ΔH_f (0 K) (eV/atom) = -0.354


# GdMgZn | the Open Quantum Materials Database | GGA-PBE | optimized geometry
data_GdMgZn
_chemical_formula_sum 'Gd2 Mg2 Zn2'
_cell_length_a 3.7198
_cell_length_b 3.7198
_cell_length_c 12.4301
_cell_angle_alpha 90.00
_cell_angle_beta 90.00
_cell_angle_gamma 120.00
_symmetry_space_group_name_H-M 'P -6 m 2'
_symmetry_Int_Tables_number 187
_symmetry_space_group_name_Hall 'P -6 2'
loop_
_atom_site_label
_atom_site_fract_x
_atom_site_fract_y
_atom_site_fract_z
Gd1 0.0000 0.0000 0.1620
Mg1 0.3333 0.6667 0.3649
Zn1 0.3333 0.6667 0.0000
Zn2 0.6667 0.3333 0.5000
# - final energy (Ry/atom) = -0.1768


# HoCu2Se4 | the Open Quantum Materials Database | GGA-PBE | optimized geometry
data_HoCu2Se4
_chemical_formula_sum 'Ho4 Cu8 Se16'
_cell_length_a 10.1256
_cell_length_b 11.8790
_cell_length_c 7.1840
_cell_angle_alpha 90.00
_cell_angle_beta 134.53
_cell_angle_gamma 90.00
_symmetry_space_group_name_H-M 'C 1 2/c 1'
_symmetry_Int_Tables_number 15
loop_
_symmetry_equiv_pos_as_xyz
'x,y,z'
'-x,-y,-z'
'-x,y,-z+1/2'
'x,-y,z+1/2'
'x+1/2,y+1/2,z'
'-x+1/2,-y+1/2,-z'
'-x+1/2,y+1/2,-z+1/2'
'x+1/2,-y+1/2,z+1/2'
loop_
_atom_site_label
_atom_site_fract_x
_atom_site_fract_y
_atom_site_fract_z
Ho1 0.0000 0.1250 0.2500
Cu1 0.0000 0.5000 0.0000
Cu2 0.2500 0.2500 0.0000
Se1 0.1557 0.3199 0.6131
Se2 0.2057 0.0703 0.7975
# - final energy (Ry/atom) = -0.3231


# NaLaNbIr | the Open Quantum Materials Database | GGA-PBE | optimized geometry
data_NaLaNbIr
_chemical_formula_sum 'Na4 La4 Nb4 Ir4'
_cell_length_a 6.9829
_cell_length_b 6.9829
_cell_length_c 6.9829
_cell_angle_alpha 90.00
_cell_angle_beta 90.00
_cell_angle_gamma 90.00
_symmetry_space_group_name_H-M 'F -4 3 m'
_symmetry_Int_Tables_number 216
_symmetry_space_group_name_Hall 'F -4 2 3'
loop_
_atom_site_label
_atom_site_fract_x
_atom_site_fract_y
_atom_site_fract_z
Na1 0.0000 0.0000 0.0000
La1 0.0000 0.0000 0.5000
Nb1 0.2500 0.2500 0.7500
Ir1 0.2500 0.2500 0.2500
# - E above lowest polymorph (kJ per mole of atoms) = 28.0